A plane-wave DFT calculation with PBE was carried out for V3TcSe after structural relaxation.

Calculated total energy: -7.39 eV/atom
V: 17.4 A^3/atom
ΔE_f (raw): 0.853 eV/atom
Distance to the lowest polymorph of the same formula: 0 meV/atom
Symmetry: No. 221

Cell lengths 4.434, 4.434, 4.434 Å; angles 90.00, 90.00, 90.00 degrees
Atoms (fractional coordinates):
1 V 0.500 0.000 0.000
2 Se 0.000 0.000 0.000
3 V 0.000 0.000 0.500
4 V 0.000 0.500 0.000
5 Tc 0.500 0.500 0.500